A plane-wave DFT calculation with GGA-PBE was carried out for crystalline CdP2BrCl at its relaxed geometry.

```
5
Lattice="4.997 0.000 0.000 0.000 4.997 0.000 0.000 0.000 5.121" Properties=species:S:1:pos:R:3 pbc="T T T"
P 2.498 0.000 0.000
Cd 2.498 2.498 2.560
P 0.000 2.498 0.000
Cl 0.000 0.000 2.560
Br 0.000 0.000 0.000
```

Summary:
The excess energy over the best structure of this formula in the dataset comes out at 1.11 eV per formula unit. For the energy, the calculation gives -10.11 eV for the cell shown.

A plane-wave DFT calculation with GGA-PBE was carried out for crystalline CdPN2O at its relaxed geometry.

```
5
Lattice="-1.731 -0.001 -2.858 1.741 -2.650 -1.053 -3.128 -2.808 1.895" Properties=species:S:1:pos:R:3 pbc="T T T"
P 0.000 0.000 0.000
Cd -1.559 -2.729 -1.008
O -1.564 -1.404 0.948
N 0.870 -1.325 -0.527
N -0.865 0.000 -1.429
```

Summary:
For the energy, the calculation gives -26.49 eV for the cell shown.

A plane-wave DFT calculation with GGA-PBE was carried out for crystalline In2H2Ru at its relaxed geometry.

```
10
Lattice="-6.826 2.776 1.261 -3.019 -6.585 -1.846 0.168 -0.866 2.815" Properties=species:S:1:pos:R:3 pbc="T T T"
H -3.191 0.615 1.925
In -7.396 -2.828 -0.429
Ru -4.923 -1.904 -0.293
Ru 0.000 0.000 0.000
H -1.783 -3.864 0.463
H -7.894 -0.811 1.767
In -5.844 0.448 0.486
In -4.002 -4.256 -1.071
H -6.487 -5.290 0.305
In -2.450 -0.981 -0.156
```

Summary:
The excess energy over the best structure of this formula in the dataset comes out at 0.00 eV per formula unit. For the energy, the calculation gives -39.43 eV for the cell shown.

A plane-wave DFT calculation with GGA-PBE was carried out for crystalline NaMgTlAg at its relaxed geometry.

```
4
Lattice="5.064 0.000 0.000 2.532 4.385 0.000 2.532 1.462 4.134" Properties=species:S:1:pos:R:3 pbc="T T T"
Na 0.000 0.000 0.000
Mg 5.064 2.923 2.067
Tl 7.595 4.385 3.101
Ag 2.532 1.462 1.034
```

Summary:
The formation energy from the elements comes out at -0.0535 eV/atom. The excess energy over the best structure of this formula in the dataset comes out at 0.16 eV per formula unit. For the energy, the calculation gives -8.35 eV for the cell shown.

A plane-wave DFT calculation with GGA-PBE was carried out for crystalline Rb2Ce4S3N2 at its relaxed geometry.

```
11
Lattice="4.686 0.000 0.000 0.000 4.686 0.000 -2.343 -2.343 12.502" Properties=species:S:1:pos:R:3 pbc="T T T"
Ce 0.000 2.343 10.612
S 0.000 0.000 0.000
Ce 2.343 0.000 10.612
Ce 0.000 2.343 1.891
Ce 2.343 0.000 1.891
S 2.343 2.343 8.643
S 0.000 0.000 3.859
N 0.000 0.000 10.317
N 2.343 2.343 2.185
Rb 0.000 0.000 7.434
Rb 2.343 2.343 5.069
```

Summary:
For the energy, the calculation gives -69.00 eV for the cell shown.

A plane-wave DFT calculation with GGA-PBE was carried out for crystalline Dy2P7Rh12 at its relaxed geometry.

```
21
Lattice="9.595 0.000 0.000 -4.798 8.310 0.000 0.000 0.000 3.871" Properties=species:S:1:pos:R:3 pbc="T T T"
Dy 4.798 2.770 0.974
Rh 7.809 1.256 0.970
P -0.802 3.370 0.949
Rh 3.989 0.564 2.906
P 2.518 2.380 2.922
Rh 3.291 4.573 2.906
Rh 1.506 3.737 0.965
Rh -3.012 7.054 2.901
Rh 7.112 3.173 2.906
P 0.000 0.000 1.936
P 2.280 5.930 0.949
P 5.600 4.939 2.922
Rh 2.817 7.391 2.901
Rh 0.194 2.174 2.901
Dy 0.000 5.540 2.898
Rh 1.980 0.919 0.970
Rh -2.314 5.137 0.965
Rh 4.603 6.135 0.970
Rh 0.808 7.746 0.965
P 6.276 0.991 2.922
P -1.478 7.319 0.949
```

Summary:
The formation energy from the elements comes out at -0.9309 eV/atom. For the energy, the calculation gives -154.84 eV for the cell shown.

A plane-wave DFT calculation with GGA-PBE was carried out for crystalline K2HgO at its relaxed geometry.

```
4
Lattice="-4.388 -2.731 1.007 -1.853 -0.285 4.920 -4.435 2.527 1.293" Properties=species:S:1:pos:R:3 pbc="T T T"
O 0.000 0.000 0.000
K -2.669 -0.122 1.805
K -8.007 -0.366 5.415
Hg -5.338 -0.244 3.610
```

Summary:
The excess energy over the best structure of this formula in the dataset comes out at 1.09 eV per formula unit. For the energy, the calculation gives -9.34 eV for the cell shown.

A plane-wave DFT calculation with GGA-PBE was carried out for crystalline PaZn2Cu2 at its relaxed geometry.

```
5
Lattice="4.259 0.000 -1.457 -0.728 3.977 -2.130 -0.519 -0.486 5.436" Properties=species:S:1:pos:R:3 pbc="T T T"
Zn 0.853 1.524 2.492
Cu 0.218 3.086 0.638
Zn 2.159 1.968 -0.644
Cu 2.793 0.406 1.211
Pa 0.000 0.000 0.000
```

Summary:
The formation energy from the elements comes out at 0.0078 eV/atom. The excess energy over the best structure of this formula in the dataset comes out at 0.10 eV per formula unit. For the energy, the calculation gives -20.20 eV for the cell shown.

A plane-wave DFT calculation with GGA-PBE was carried out for crystalline Ac2CeMg9 at its relaxed geometry.

```
12
Lattice="5.957 0.000 1.773 2.715 5.302 1.773 0.054 0.033 10.712" Properties=species:S:1:pos:R:3 pbc="T T T"
Mg 3.639 2.225 4.085
Mg 5.776 3.532 2.381
Mg 4.363 2.668 7.129
Ac 7.462 4.563 7.609
Mg 2.092 3.111 9.281
Mg 2.950 1.804 11.876
Ac 1.264 0.773 6.649
Mg 6.634 2.225 4.977
Mg 3.722 0.445 9.281
Mg 5.004 4.891 4.977
Ce 0.000 0.000 0.000
Mg 5.087 3.111 10.172
```

Summary:
The formation energy from the elements comes out at -0.0314 eV/atom. For the energy, the calculation gives -28.88 eV for the cell shown.

A plane-wave DFT calculation with GGA-PBE was carried out for crystalline Li2CaFe at its relaxed geometry.

```
4
Lattice="9.923 -0.128 -0.075 9.446 3.043 -0.075 9.446 1.422 2.692" Properties=species:S:1:pos:R:3 pbc="T T T"
Li 13.984 2.105 1.234
Ca 7.204 1.084 0.635
Li 0.424 0.064 0.037
Fe 21.611 3.253 1.906
```

Summary:
The formation energy from the elements comes out at 0.5757 eV/atom. The excess energy over the best structure of this formula in the dataset comes out at 0.90 eV per formula unit. For the energy, the calculation gives -11.99 eV for the cell shown.

A plane-wave DFT calculation with GGA-PBE was carried out for crystalline Ag3SnPd12 at its relaxed geometry.

```
16
Lattice="-1.500 -1.429 3.446 3.597 -1.541 0.926 3.925 13.571 7.336" Properties=species:S:1:pos:R:3 pbc="T T T"
Pd 2.034 1.924 4.029
Pd 1.048 -1.485 2.186
Pd 3.987 8.677 7.679
Pd 3.272 4.326 3.218
Ag 0.983 3.400 1.838
Pd 0.724 4.381 4.478
Pd -0.260 0.978 2.638
Pd 2.685 11.164 8.144
Pd 1.701 7.760 6.304
Pd 3.011 5.300 5.854
Pd 5.233 11.108 6.884
Ag 2.941 10.171 5.498
Sn 0.000 0.000 0.000
Pd 2.288 0.922 1.378
Pd 4.249 7.705 5.044
Ag 1.962 6.785 3.668
```

Summary:
The formation energy from the elements comes out at -0.1227 eV/atom. For the energy, the calculation gives -76.83 eV for the cell shown.

A plane-wave DFT calculation with GGA-PBE was carried out for crystalline HIrS2 at its relaxed geometry.

```
4
Lattice="0.872 -3.920 0.850 -1.627 -3.005 -2.276 2.384 -2.170 -2.542" Properties=species:S:1:pos:R:3 pbc="T T T"
Ir 0.814 -4.548 -1.984
S 1.221 -6.821 -2.976
H 0.000 0.000 0.000
S 0.407 -2.274 -0.992
```

Summary:
The excess energy over the best structure of this formula in the dataset comes out at 3.21 eV per formula unit. For the energy, the calculation gives -18.42 eV for the cell shown.

A plane-wave DFT calculation with GGA-PBE was carried out for crystalline Nd6Y3In at its relaxed geometry.

```
20
Lattice="-0.641 -0.712 3.434 -8.324 -9.402 -3.504 12.402 -7.597 0.740" Properties=species:S:1:pos:R:3 pbc="T T T"
Y 3.169 -15.684 -1.735
Nd -1.884 -4.622 1.466
Y 0.268 -2.027 2.406
Nd -0.900 -12.628 -1.861
Nd 5.321 -13.089 -0.796
Y 0.485 -10.262 0.738
Y 7.224 -11.343 1.772
Nd 4.337 -5.083 2.531
Nd -0.587 -7.317 -0.702
In -4.871 -11.348 -2.337
Nd 1.463 -4.539 0.257
Y 2.952 -7.449 -0.068
Nd -2.995 -9.940 0.155
Y -3.787 -6.368 -1.102
Nd -6.312 -8.742 -0.215
Nd 1.974 -13.172 0.413
Nd 6.432 -7.771 0.515
In 8.308 -6.363 3.007
Nd 9.749 -8.968 0.885
Nd 4.024 -10.394 1.372
```

Summary:
The formation energy from the elements comes out at -0.0140 eV/atom. The excess energy over the best structure of this formula in the dataset comes out at 0.00 eV per formula unit. For the energy, the calculation gives -101.76 eV for the cell shown.

A plane-wave DFT calculation with GGA-PBE was carried out for crystalline GdAl2H6 at its relaxed geometry.

```
9
Lattice="-1.945 4.657 0.766 -0.207 1.935 4.719 3.069 3.863 1.311" Properties=species:S:1:pos:R:3 pbc="T T T"
H -0.570 4.984 2.271
H 1.576 4.644 2.504
H -0.659 5.813 4.292
H 1.488 5.473 4.525
Al 0.688 7.842 5.097
Gd 0.000 0.000 0.000
Al 0.229 2.614 1.699
H 0.743 6.638 2.832
H 0.174 3.818 3.964
```

Summary:
For the energy, the calculation gives -37.09 eV for the cell shown.

A plane-wave DFT calculation with GGA-PBE was carried out for crystalline Cd2CuNi at its relaxed geometry.

```
8
Lattice="7.126 0.000 0.000 0.000 7.126 0.000 3.563 3.563 2.748" Properties=species:S:1:pos:R:3 pbc="T T T"
Ni 3.563 3.563 0.000
Cd 5.311 1.781 0.687
Cd 1.814 5.344 0.687
Cu 7.126 3.563 1.374
Cu 0.000 0.000 0.000
Ni 3.563 7.126 1.374
Cd 8.907 8.874 2.061
Cd 5.344 5.377 2.061
```

Summary:
The formation energy from the elements comes out at 0.3356 eV/atom. The excess energy over the best structure of this formula in the dataset comes out at 1.09 eV per formula unit. For the energy, the calculation gives -20.73 eV for the cell shown.

A plane-wave DFT calculation with GGA-PBE was carried out for crystalline Li2BrCl at its relaxed geometry.

```
4
Lattice="5.784 0.179 0.141 1.248 5.651 0.141 2.359 1.956 3.414" Properties=species:S:1:pos:R:3 pbc="T T T"
Br 4.072 1.068 1.777
Cl 1.804 3.803 1.777
Li 3.516 2.915 0.141
Li 0.000 0.000 0.000
```

Summary:
The excess energy over the best structure of this formula in the dataset comes out at 0.53 eV per formula unit. For the energy, the calculation gives -13.54 eV for the cell shown.

A plane-wave DFT calculation with GGA-PBE was carried out for crystalline Na3Ac2CeS6 at its relaxed geometry.

```
12
Lattice="7.448 -0.003 0.002 -3.725 6.450 0.002 -1.241 -2.149 6.690" Properties=species:S:1:pos:R:3 pbc="T T T"
S 3.683 2.220 5.097
S 0.082 4.299 5.097
S -0.041 -0.071 5.118
Na -2.523 4.323 3.347
Ce 0.000 0.000 0.000
S 2.400 -0.001 1.596
S -1.201 2.078 1.596
Na 1.241 2.149 3.347
S 2.523 4.369 1.576
Ac -0.004 4.301 0.002
Na 5.005 -0.025 3.347
Ac 3.728 2.146 0.002
```

Summary:
For the energy, the calculation gives -64.25 eV for the cell shown.

A plane-wave DFT calculation with GGA-PBE was carried out for crystalline BaZr3F at its relaxed geometry.

```
5
Lattice="-4.440 1.873 -0.716 -1.389 -4.128 -2.183 -1.445 -1.785 4.296" Properties=species:S:1:pos:R:3 pbc="T T T"
Zr -0.695 -2.064 -1.091
Ba -3.638 -2.020 0.699
Zr -2.220 0.936 -0.358
Zr -0.723 -0.893 2.148
F 0.000 0.000 0.000
```

Summary:
The excess energy over the best structure of this formula in the dataset comes out at 0.00 eV per formula unit. For the energy, the calculation gives -30.13 eV for the cell shown.